## ThCdInHg (PBE)

Data for crystalline ThCdInHg at its relaxed geometry.

The structure in POSCAR format:
```
ThCdInHg
1.0
3.2726 0.0000 0.0000
0.0000 5.8510 0.0000
0.0000 0.0000 5.8667
Th Cd In Hg
1 1 1 1
direct
0.0000 0.0000 0.0000
0.5000 0.5000 0.5000
0.5000 0.0000 0.5000
0.5000 0.5000 0.0000
```

## Properties
M_tot   0.000 μB per atom
DFT formation energy   0.009 eV per atom

## Th2CdIn3Hg6 (PBE)

Data for crystalline Th2CdIn3Hg6 at its relaxed geometry.

The structure in POSCAR format:
```
Th2CdIn3Hg6
1.0
4.6412 0.0000 0.0000
0.0000 4.6412 0.0000
0.0000 0.0000 18.9317
Th Cd In Hg
2 1 3 6
direct
0.0000 0.0000 0.2168
0.0000 0.0000 0.7832
0.0000 0.0000 0.0000
0.5000 0.5000 0.2037
0.5000 0.5000 0.5000
0.5000 0.5000 0.7963
0.0000 0.5000 0.0935
0.0000 0.5000 0.9064
0.5000 0.0000 0.0935
0.5000 0.0000 0.9064
0.5000 0.5000 0.3517
0.5000 0.5000 0.6483
```

## Properties
M_tot   0.000 μB per atom
DFT formation energy   0.147 eV per atom

## ThCdInHg (PBE)

Data for crystalline ThCdInHg at its relaxed geometry.

The structure in POSCAR format:
```
ThCdInHg
1.0
0.0000 3.7248 3.7248
3.7248 0.0000 3.7248
3.7248 3.7248 0.0000
Th Cd In Hg
1 1 1 1
direct
0.0000 0.0000 0.0000
0.5000 0.5000 0.5000
0.7500 0.7500 0.7500
0.2500 0.2500 0.2500
```

## Properties
M_tot   0.000 μB per atom
DFT formation energy   -0.140 eV per atom

## Tl2Cd2In3Hg4 (PBE)

Data for crystalline Tl2Cd2In3Hg4 at its relaxed geometry.

The structure in POSCAR format:
```
Tl2Cd2In3Hg4
1.0
4.9836 0.0000 0.0000
-2.4918 4.3160 0.0000
0.0000 0.0000 14.5077
Tl Cd In Hg
2 2 3 4
direct
0.3333 0.6667 0.0692
0.6667 0.3333 0.9308
0.3333 0.6667 0.6355
0.6667 0.3333 0.3645
0.0000 0.0000 0.2502
0.0000 0.0000 0.5000
0.0000 0.0000 0.7498
0.3333 0.6667 0.3963
0.3333 0.6667 0.8443
0.6667 0.3333 0.1557
0.6667 0.3333 0.6037
```

## Properties
M_tot   0.000 μB per atom
DFT formation energy   0.031 eV per atom